[1]
Here is a geometry-optimized LiZrIr2 structure from Alexandria. Energies are from GGA-PBE.

Properties
total DFT energy (no corrections)	-28.898	eV per cell
SG	R-3m (166)
M_tot	0.00	μB/f.u.
E_form	-0.178	eV per atom
energy above the most stable polymorph in this dataset	37.6	kJ/mol of atoms

a b c (Å): 9.0902 9.0902 9.0902
angles (deg): 18.12 18.12 18.12
With the nearest neighbours (Å) after each atom.
Element x y z (fractional)
Ir1 0.9966 0.9966 0.9966  3 Li 2.71, 3 Zr 2.85, 6 Ir 2.86
Ir2 0.5034 0.5034 0.5034  3 Li 2.71, 3 Zr 2.85, 6 Ir 2.86
Zr1 0.7500 0.7500 0.7500  6 Ir 2.85, 6 Zr 2.86
Li1 0.2500 0.2500 0.2500  6 Ir 2.71, 6 Li 2.86

[2]
Here is a geometry-optimized TlV2P structure from Alexandria. Energies are from GGA-PBE.

Properties
total DFT energy (no corrections)	-48.151	eV per cell
SG	I-42d (122)
M_tot	0.00	μB/f.u.
E_form	0.484	eV per atom
energy above the most stable polymorph in this dataset	7.1	kJ/mol of atoms

a b c (Å): 4.2453 4.2453 9.0506
angles (deg): 76.44 76.44 90.00
With the nearest neighbours (Å) after each atom.
Element x y z (fractional)
P1 0.2500 0.7500 0.5000  4 V 2.42
P2 0.5000 0.5000 0.0000  4 V 2.42
V1 0.4738 0.1250 0.2500  2 V 2.28, 2 P 2.42
V2 0.3750 0.5262 0.7500  2 V 2.28, 2 P 2.42
V3 0.8750 0.7238 0.7500  2 V 2.28, 2 P 2.42
V4 0.2762 0.6250 0.2500  2 V 2.28, 2 P 2.42
Tl1 0.0000 0.0000 0.0000  4 V 2.93, 4 P 3.00
Tl2 0.7500 0.2500 0.5000  4 V 2.93, 4 P 3.00

[3]
Here is a geometry-optimized Ti3Zn3N structure from Alexandria. Energies are from GGA-PBE.

Properties
total DFT energy (no corrections)	-163.207	eV per cell
ΔE_f (raw)	-0.710	eV per atom
SG	Fd-3m (227)
M_tot	0.00	μB/f.u.

a b c (Å): 8.1361 8.1361 8.1361
angles (deg): 60.00 60.00 60.00
With the nearest neighbours (Å) after each atom.
Element x y z (fractional)
Ti1 0.1787 0.8213 0.8213  2 N 2.13
Ti2 0.0713 0.4287 0.0713  2 N 2.13
Ti3 0.4287 0.0713 0.0713  2 N 2.13
Ti4 0.8213 0.8213 0.1787  2 N 2.13
Ti5 0.1787 0.8213 0.1787  2 N 2.13
Ti6 0.4287 0.4287 0.0713  2 N 2.13
Ti7 0.4287 0.0713 0.4287  2 N 2.13
Ti8 0.8213 0.1787 0.1787  2 N 2.13
Ti9 0.1787 0.1787 0.8213  2 N 2.13
Ti10 0.0713 0.0713 0.4287  2 N 2.13
Ti11 0.8213 0.1787 0.8213  2 N 2.13
Ti12 0.0713 0.4287 0.4287  2 N 2.13
Zn1 0.4948 0.8351 0.8351  6 Zn 2.50-2.77, 3 Ti 2.69
Zn2 0.8351 0.8351 0.4948  6 Zn 2.50-2.77, 3 Ti 2.69
Zn3 0.6250 0.6250 0.6250  6 Zn 2.50
Zn4 0.7552 0.4149 0.4149  6 Zn 2.50-2.77, 3 Ti 2.69
Zn5 0.4149 0.7552 0.4149  6 Zn 2.50-2.77, 3 Ti 2.69
Zn6 0.4149 0.4149 0.7552  6 Zn 2.50-2.77, 3 Ti 2.69
Zn7 0.4149 0.4149 0.4149  6 Zn 2.50-2.77, 3 Ti 2.69
Zn8 0.8351 0.8351 0.8351  6 Zn 2.50-2.77, 3 Ti 2.69
Zn9 0.8351 0.4948 0.8351  6 Zn 2.50-2.77, 3 Ti 2.69
Zn10 0.1250 0.6250 0.6250  6 Zn 2.50
Zn11 0.6250 0.6250 0.1250  6 Zn 2.50
Zn12 0.6250 0.1250 0.6250  6 Zn 2.50
N1 0.1250 0.6250 0.1250  6 Ti 2.13
N2 0.1250 0.1250 0.1250  6 Ti 2.13
N3 0.6250 0.1250 0.1250  6 Ti 2.13
N4 0.1250 0.1250 0.6250  6 Ti 2.13

[4]
Here is a geometry-optimized La3MgIr structure from Alexandria. Energies are from GGA-PBE.

Properties
total DFT energy (no corrections)	-108.053	eV per cell
SG	P2_1/c (14)
M_tot	0.00	μB/f.u.
E_form	-0.355	eV per atom

a b c (Å): 7.2372 10.6701 9.5725
angles (deg): 115.74 90.00 90.00
With the nearest neighbours (Å) after each atom.
Element x y z (fractional)
La1 0.9186 0.3573 0.0818  3 Ir 2.92-2.94
La2 0.5717 0.4373 0.7841  2 Ir 2.85-2.87
La3 0.9155 0.7543 0.3608  1 Ir 2.78
La4 0.0845 0.2457 0.6392  1 Ir 2.78
La5 0.4155 0.7457 0.6392  1 Ir 2.78
La6 0.4283 0.5627 0.2159  2 Ir 2.85-2.87
La7 0.0717 0.0627 0.2159  2 Ir 2.85-2.87
La8 0.4186 0.1427 0.9182  3 Ir 2.92-2.94
La9 0.0814 0.6427 0.9182  3 Ir 2.92-2.94
La10 0.9283 0.9373 0.7841  2 Ir 2.85-2.87
La11 0.5814 0.8573 0.0818  3 Ir 2.92-2.94
La12 0.5845 0.2543 0.3608  1 Ir 2.78
Mg1 0.6778 0.0633 0.5605  1 Mg 2.90
Mg2 0.1778 0.4367 0.4395  1 Mg 2.90
Mg3 0.8222 0.5633 0.5605  1 Mg 2.90
Mg4 0.3222 0.9367 0.4395  1 Mg 2.90
Ir1 0.2529 0.8957 0.9275  6 La 2.78-2.94
Ir2 0.7529 0.6043 0.0725  6 La 2.78-2.94
Ir3 0.2471 0.3957 0.9275  6 La 2.78-2.94
Ir4 0.7471 0.1043 0.0725  6 La 2.78-2.94

[5]
Here is a geometry-optimized SbOsRu2 structure from Alexandria. Energies are from GGA-PBE.

Properties
total DFT energy (no corrections)	-32.369	eV per cell
ΔE_f (raw)	0.384	eV per atom
SG	Pmm2 (25)
M_tot	0.00	μB/f.u.

a b c (Å): 2.9119 3.8555 5.6392
angles (deg): 90.00 90.00 90.00
With the nearest neighbours (Å) after each atom.
Element x y z (fractional)
Os1 0.5000 0.5000 0.7854  5 Ru 2.63-2.67, 2 Os 2.91
Sb1 0.0000 0.0000 0.4833  6 Ru 2.73-2.88, 2 Sb 2.91, 4 Os 2.96
Ru1 0.5000 0.5000 0.2593  2 Os 2.67-2.97, 4 Sb 2.73, 6 Ru 2.91
Ru2 0.0000 0.0000 0.9720  4 Os 2.63, 2 Sb 2.76-2.88, 6 Ru 2.91

[6]
Here is a geometry-optimized Sm7Ag2Te2 structure from Alexandria. Energies are from GGA-PBE.

Properties
total DFT energy (no corrections)	-48.296	eV per cell
ΔE_f (raw)	-0.298	eV per atom
SG	Cmmm (65)
M_tot	0.00	μB/f.u.

a b c (Å): 6.8450 7.7622 6.8450
angles (deg): 89.98 105.88 90.02
With the nearest neighbours (Å) after each atom.
Element x y z (fractional)
Sm1 0.5000 0.2740 0.5000  2 Te 3.17, 2 Ag 3.22, 5 Sm 3.42-3.51
Sm2 0.0000 0.0000 0.0000  2 Te 3.11
Sm3 0.0001 0.2841 0.5002  2 Te 3.04, 2 Ag 3.27, 1 Sm 3.35
Sm4 0.5002 0.7159 0.0001  2 Te 3.04, 2 Ag 3.27, 1 Sm 3.35
Sm5 0.5000 0.7260 0.5000  2 Te 3.17, 2 Ag 3.22, 5 Sm 3.42-3.51
Sm6 0.9999 0.7159 0.4998  2 Te 3.04, 2 Ag 3.27, 1 Sm 3.35
Sm7 0.4998 0.2841 0.9999  2 Te 3.04, 2 Ag 3.27, 1 Sm 3.35
Te1 0.7154 0.0001 0.2846  7 Sm 3.04-3.17
Te2 0.2846 0.9999 0.7154  7 Sm 3.04-3.17
Ag1 0.1726 0.5000 0.1726  1 Ag 2.85
Ag2 0.8274 0.5000 0.8274  1 Ag 2.85

[7]
Here is a geometry-optimized Cs4Rb2BeP2 structure from Alexandria. Energies are from GGA-PBE.

Properties
total DFT energy (no corrections)	-21.568	eV per cell
SG	C2/m (12)
M_tot	0.00	μB/f.u.
E_form	-0.186	eV per atom

a b c (Å): 5.6587 10.8260 10.8260
angles (deg): 86.69 72.60 72.60
With the nearest neighbours (Å) after each atom.
Element x y z (fractional)
Cs1 0.6920 0.9794 0.2704  1 Be 3.39, 2 P 3.56
Cs2 0.3080 0.7296 0.0206  1 Be 3.39, 2 P 3.56
Cs3 0.3080 0.0206 0.7296  1 Be 3.39, 2 P 3.56
Cs4 0.6920 0.2704 0.9794  1 Be 3.39, 2 P 3.56
P1 0.1944 0.1223 0.1223  1 Be 1.99
P2 0.8056 0.8777 0.8777  1 Be 1.99
Rb1 0.9222 0.3533 0.3533  1 P 3.32
Rb2 0.0778 0.6467 0.6467  1 P 3.32
Be1 0.5000 0.0000 0.0000  2 P 1.99

[8]
Here is a geometry-optimized PuNpCrNi structure from Alexandria. Energies are from GGA-PBE.

Properties
total DFT energy (no corrections)	-42.307	eV per cell
SG	F-43m (216)
M_tot	0.74	μB/f.u.
E_form	0.093	eV per atom

a b c (Å): 4.3563 4.3563 4.3563
angles (deg): 60.00 60.00 60.00
With the nearest neighbours (Å) after each atom.
Element x y z (fractional)
Ni1 0.5000 0.5000 0.5000  4 Cr 2.67, 4 Pu 2.67
Cr1 0.2500 0.2500 0.2500  4 Np 2.67, 4 Ni 2.67
Pu1 0.7500 0.7500 0.7500  4 Ni 2.67, 4 Np 2.67
Np1 0.0000 0.0000 0.0000  4 Pu 2.67, 4 Cr 2.67

[9]
Here is a geometry-optimized TaHPdRh2 structure from Alexandria. Energies are from GGA-PBE.

Properties
total DFT energy (no corrections)	-36.734	eV per cell
SG	P4/mmm (123)
M_tot	0.00	μB/f.u.
energy above the most stable polymorph in this dataset	7.1	kJ/mol of atoms

a b c (Å): 3.9461 3.9461 4.0425
angles (deg): 90.00 90.00 90.00
With the nearest neighbours (Å) after each atom.
Element x y z (fractional)
Rh1 0.5000 0.0000 0.0000  2 H 1.97
Rh2 0.0000 0.5000 0.0000  2 H 1.97
Pd1 0.5000 0.5000 0.5000  4 Ta 2.79, 8 Rh 2.82
H1 0.0000 0.0000 0.0000  4 Rh 1.97, 2 Ta 2.02
Ta1 0.0000 0.0000 0.5000  2 H 2.02

[10]
Here is a geometry-optimized Pm9ThIn2 structure from Alexandria. Energies are from GGA-PBE.

Properties
total DFT energy (no corrections)	-57.557	eV per cell
SG	P4/mmm (123)
M_tot	0.00	μB/f.u.
E_form	-0.159	eV per atom

a b c (Å): 4.9960 4.9960 15.1214
angles (deg): 90.00 90.00 90.00
With the nearest neighbours (Å) after each atom.
Element x y z (fractional)
In1 0.0000 0.0000 0.6629  12 Pm 3.51-3.55
In2 0.0000 0.0000 0.3371  12 Pm 3.51-3.55
Pm1 0.0000 0.5000 0.1701  8 Pm 3.53-3.59, 2 In 3.55, 2 Th 3.59
Pm2 0.5000 0.5000 0.0000  4 Th 3.53, 8 Pm 3.59
Pm3 0.5000 0.0000 0.8299  8 Pm 3.53-3.59, 2 In 3.55, 2 Th 3.59
Pm4 0.5000 0.0000 0.5000  8 Pm 3.49-3.53, 4 In 3.51
Pm5 0.0000 0.5000 0.5000  8 Pm 3.49-3.53, 4 In 3.51
Pm6 0.5000 0.5000 0.6613  8 Pm 3.49-3.57, 4 In 3.53
Pm7 0.0000 0.5000 0.8299  8 Pm 3.53-3.59, 2 In 3.55, 2 Th 3.59
Pm8 0.5000 0.0000 0.1701  8 Pm 3.53-3.59, 2 In 3.55, 2 Th 3.59
Pm9 0.5000 0.5000 0.3387  8 Pm 3.49-3.57, 4 In 3.53
Th1 0.0000 0.0000 0.0000  12 Pm 3.53-3.59

What did the second record say?
Here is a geometry-optimized TlV2P structure from Alexandria. Energies are from GGA-PBE.

Properties
total DFT energy (no corrections)	-48.151	eV per cell
SG	I-42d (122)
M_tot	0.00	μB/f.u.
E_form	0.484	eV per atom
energy above the most stable polymorph in this dataset	7.1	kJ/mol of atoms

a b c (Å): 4.2453 4.2453 9.0506
angles (deg): 76.44 76.44 90.00
With the nearest neighbours (Å) after each atom.
Element x y z (fractional)
P1 0.2500 0.7500 0.5000  4 V 2.42
P2 0.5000 0.5000 0.0000  4 V 2.42
V1 0.4738 0.1250 0.2500  2 V 2.28, 2 P 2.42
V2 0.3750 0.5262 0.7500  2 V 2.28, 2 P 2.42
V3 0.8750 0.7238 0.7500  2 V 2.28, 2 P 2.42
V4 0.2762 0.6250 0.2500  2 V 2.28, 2 P 2.42
Tl1 0.0000 0.0000 0.0000  4 V 2.93, 4 P 3.00
Tl2 0.7500 0.2500 0.5000  4 V 2.93, 4 P 3.00